[1]
Density functional theory data (PBE) for an optimized crystal structure of ScAlF3.

Results
Energy relative to the lowest polymorph listed for this composition, kJ/mol of formula units: 0.0
Magnetic moment, μB/f.u.: 0.6
Raw formation energy, kJ/mol of atoms: -238.8

POSCAR file:
```
ScAlF3
1.0
4.270 0.000 0.000
0.000 4.270 0.000
0.000 0.000 4.270
Sc F Al
1 3 1
Direct
0.000 0.000 0.000
0.000 0.500 0.000
0.500 0.000 0.000
0.000 0.000 0.500
0.500 0.500 0.500
```

---

[2]
Density functional theory data (PBE) for an optimized crystal structure of La4Ti2Ir.

Results
E_tot, eV/cell: -42.3
Magnetic moment, μB/f.u.: 0.0

POSCAR file:
```
La4Ti2Ir
1.0
-5.133 -1.475 2.197
0.381 -5.157 -2.571
0.750 -5.871 5.402
La Ti Ir
4 2 1
Direct
0.202 0.202 0.597
0.000 0.500 0.000
0.798 0.798 0.403
0.500 0.000 0.000
0.411 0.411 0.178
0.589 0.589 0.822
0.000 0.000 0.000
```

---

[3]
Density functional theory data (PBE) for an optimized crystal structure of CePm4Nd3Se8.

Results
Magnetic moment, μB/f.u.: 0.9
Raw formation energy, kJ/mol of atoms: -177.1

POSCAR file:
```
CePm4Nd3Se8
1.0
8.420 0.000 0.000
0.000 8.421 -0.004
-4.210 -4.205 5.956
Pm Ce Nd Se
4 1 3 8
Direct
0.500 0.000 0.500
0.500 0.000 0.000
0.000 0.000 0.500
0.000 0.000 0.000
0.000 0.500 0.000
0.000 0.500 0.500
0.500 0.500 0.000
0.500 0.500 0.500
0.250 0.752 0.499
0.248 0.248 0.998
0.249 0.247 0.498
0.751 0.753 0.502
0.750 0.248 0.998
0.750 0.248 0.501
0.752 0.752 0.002
0.250 0.752 0.002
```

---

Question: The lowest magnetic moment belongs to which entry?
Answer: La4Ti2Ir

---

Question: The highest magnetic moment belongs to which entry?
Answer: CePm4Nd3Se8

---

Question: magnetic moment of number 1 (ScAlF3)?
Answer: 0.6 μB/f.u.

---

Question: Which value of magnetic moment does entry 2 give?
Answer: 0.0 μB/f.u.